Entry 1:
Entry from Alexandria via LeMat-Bulk: a relaxed structure of RbCd6Ag2 (PBE).

Cell: 13.4281 13.4281 13.4281 Å, 90.00 90.00 90.00°
Last column: nearest neighbours and their distance in Å.
Space group Fd-3m (No. 227, origin choice 2)
Inequivalent atoms, fractional coordinates:
Rb (0.1250, 0.1250, 0.1250)  6 Cd 3.65
Cd (0.1029, 0.3750, 0.8750)  2 Ag 2.75
Ag (0.0000, 0.0000, 0.5000)  6 Cd 2.75

Values from the calculation:
crystal system	cubic



Entry 2:
Entry from Alexandria via LeMat-Bulk: a relaxed structure of Rb4Cd4Ag (PBE).

Cell: 10.4354 10.4354 7.0521 Å, 90.00 90.00 90.00°
Last column: nearest neighbours and their distance in Å.
Space group P4_2/n (No. 86, origin choice 2)
Inequivalent atoms, fractional coordinates:
Rb (0.0561, 0.8238, 0.1099)  1 Ag 3.43, 2 Cd 3.80-3.81
Cd (0.1001, 0.1962, 0.4042)  1 Ag 2.95, 2 Cd 3.20
Ag (0.2500, 0.2500, 0.7500)  4 Cd 2.95

Values from the calculation:
crystal system	tetragonal



Entry 3:
Entry from Alexandria via LeMat-Bulk: a relaxed structure of Rb2Cd5Ag (PBE).

Cell: 6.6110 6.6110 12.8662 Å, 90.00 90.00 90.00°
Last column: nearest neighbours and their distance in Å.
Space group I4mm (No. 107)
Inequivalent atoms, fractional coordinates:
Rb (0.0000, 0.5000, 0.0000)  2 Ag 3.59, 10 Cd 3.64-4.01
Cd (0.0000, 0.0000, 0.3814)  1 Ag 2.92, 4 Cd 2.96
Cd (0.2428, 0.2428, 0.7469)  1 Ag 2.88, 3 Cd 2.96-3.21
Ag (0.0000, 0.0000, 0.6088)  5 Cd 2.88-2.92

Values from the calculation:
crystal system	tetragonal
distance to the lowest polymorph of the same formula	17.4	meV per atom



Entry 4:
Entry from Alexandria via LeMat-Bulk: a relaxed structure of Rb2CdAg2 (PBE).

Cell: 4.9090 4.9090 32.0127 Å, 90.00 90.00 120.00°
Last column: nearest neighbours and their distance in Å.
Space group R-3m (No. 166, hexagonal axes)
Inequivalent atoms, fractional coordinates:
Rb (0.0000, 0.0000, 0.0732)  1 Ag 3.38
Cd (0.0000, 0.0000, 0.5000)  6 Ag 2.86
Ag (0.0000, 0.0000, 0.1788)  3 Cd 2.86, 3 Ag 2.94

Values from the calculation:
crystal system	trigonal
distance to the lowest polymorph of the same formula	0.0	meV per atom



What did we get for V? Answer: 2421.28; 767.96; 562.32; 668.09 Å³ per cell, in the order shown.
What did we get for Fermi-level density of states? Answer: 0.4211; 0.6397; 0.4814; 0.4799 states/eV per atom, in the order shown.
What did we get for energy relative to the elements? Answer: 0.188; 0.002; -0.008; -0.030 eV/atom, in the order shown.